Entry 1:
Sm6Ho4Tm: relaxed, PBE-GGA.

- VASP energy (eV/cell) = -47.76
- spin magnetization (μB/f.u.) = 0.00
- ΔH_f (0 K) (eV/atom) = 0.3038
- excess energy over the best structure of this formula in the dataset (kJ/mol of atoms) = 17.6

Structure (POSCAR):
```
Sm6Ho4Tm
1.0
-6.393 1.028 1.326
-1.395 -0.358 -6.451
2.689 -8.770 3.292
Sm Ho Tm
6 4 1
direct
0.500 0.000 0.000
0.487 0.864 0.351
0.136 0.136 0.649
0.513 0.513 0.649
0.864 0.487 0.351
0.000 0.500 0.000
0.051 0.693 0.744
0.949 0.949 0.256
0.693 0.051 0.744
0.307 0.307 0.256
0.500 0.500 0.000
```



Entry 2:
BeGa3P: relaxed, PBE-GGA.

- VASP energy (eV/cell) = -16.27
- spin magnetization (μB/f.u.) = 0.00
- ΔH_f (0 K) (eV/atom) = 0.3895
- excess energy over the best structure of this formula in the dataset (kJ/mol of atoms) = 0.0

Structure (POSCAR):
```
BeGa3P
1.0
4.449 0.000 0.000
0.000 4.449 0.000
0.000 0.000 4.449
Ga Be P
3 1 1
direct
0.000 0.000 0.500
0.000 0.500 0.000
0.500 0.000 0.000
0.000 0.000 0.000
0.500 0.500 0.500
```